No. 1
Density functional theory data (GGA-PBE) for a relaxed Mn2TeP crystal.

The calculation puts the distance to the lowest polymorph of the same formula at 88 meV per atom. As for the density: 6.49 g/cm³. Its volume is 69 Å³/cell. The uncorrected formation energy is -7 kJ/mol of atoms.

Structure (POSCAR):
```
Mn2TeP
1.0
3.310 0.000 0.000
0.000 3.310 0.000
0.000 0.000 6.270
Mn Te P
2 1 1
Direct
0.000 0.000 0.000
0.500 0.500 0.249
0.500 0.500 0.800
0.000 0.000 0.362
```

No. 2
Density functional theory data (GGA-PBE) for a relaxed Mn2TeP crystal.

The calculation puts the distance to the lowest polymorph of the same formula at 305 meV per atom. As for the density: 6.92 g/cm³. Its volume is 64 Å³/cell. The uncorrected formation energy is 14 kJ/mol of atoms.

Structure (POSCAR):
```
Mn2TeP
1.0
3.101 0.000 0.000
0.000 3.101 0.000
0.000 0.000 6.703
Mn Te P
2 1 1
Direct
0.000 0.000 0.191
0.000 0.000 0.809
0.500 0.500 0.500
0.500 0.500 0.000
```

No. 3
Density functional theory data (GGA-PBE) for a relaxed Mn2TeP crystal.

The calculation puts the distance to the lowest polymorph of the same formula at 492 meV per atom. As for the density: 8.17 g/cm³. Its volume is 55 Å³/cell. The uncorrected formation energy is 32 kJ/mol of atoms.

Structure (POSCAR):
```
Mn2TeP
1.0
4.232 0.000 0.000
0.000 4.232 0.000
0.000 0.000 3.047
Mn Te P
2 1 1
Direct
0.000 0.500 0.000
0.500 0.000 0.000
0.000 0.000 0.500
0.500 0.500 0.500
```

No. 4
Density functional theory data (GGA-PBE) for a relaxed Mn3TeP crystal.

The calculation puts the distance to the lowest polymorph of the same formula at 970 meV per atom. As for the density: 4.28 g/cm³. Its volume is 125 Å³/cell. The uncorrected formation energy is 117 kJ/mol of atoms.

Structure (POSCAR):
```
Mn3TeP
1.0
5.004 0.000 0.000
0.000 5.004 0.000
0.000 0.000 5.004
Mn Te P
3 1 1
Direct
0.000 0.000 0.500
0.000 0.500 0.000
0.500 0.000 0.000
0.000 0.000 0.000
0.500 0.500 0.500
```

No. 5
Density functional theory data (GGA-PBE) for a relaxed Mn2TeP crystal.

The calculation puts the distance to the lowest polymorph of the same formula at 66 meV per atom. As for the density: 5.23 g/cm³. Its volume is 85 Å³/cell. The uncorrected formation energy is -9 kJ/mol of atoms.

Structure (POSCAR):
```
Mn2TeP
1.0
3.747 0.000 0.000
0.000 3.743 0.000
-0.064 0.000 6.075
Mn Te P
2 1 1
Direct
0.000 0.000 0.000
0.500 0.500 0.000
0.005 0.500 0.292
0.496 0.000 0.795
```

No. 6
Density functional theory data (GGA-PBE) for a relaxed MnTeP crystal.

The calculation puts the distance to the lowest polymorph of the same formula at 350 meV per atom. As for the density: 5.80 g/cm³. Its volume is 61 Å³/cell. The uncorrected formation energy is 18 kJ/mol of atoms.

Structure (POSCAR):
```
MnTeP
1.0
0.000 3.127 3.127
3.127 0.000 3.127
3.127 3.127 0.000
Mn Te P
1 1 1
Direct
0.000 0.000 0.000
0.750 0.750 0.750
0.250 0.250 0.250
```